[1]
Density functional theory data (PBE) for a relaxed Tl4InHg15 crystal.

* space-group type: P4/mmm
* energy of formation from the pure elements: -0.022 eV per atom
* E: -17.2 eV per cell
* DOS at the Fermi energy: 3.28 states/eV per cell

Cell: 5.2237 5.2237 20.3379 Å, 90.00 90.00 90.00°
Last column: nearest neighbours and their distance in Å.
Atoms (fractional coordinates):
Tl: 0.0000 0.0000 0.1018  12 Hg 3.32-3.69
Tl: 0.0000 0.0000 0.3042  12 Hg 3.31-3.69
Tl: 0.0000 0.0000 0.6958  12 Hg 3.31-3.69
Tl: 0.0000 0.0000 0.8982  12 Hg 3.32-3.69
In: 0.0000 0.0000 0.5000  8 Hg 3.26
Hg: 0.0000 0.5000 0.0000  8 Hg 3.33-3.69, 4 Tl 3.33
Hg: 0.0000 0.5000 0.2028  8 Hg 3.32-3.69, 4 Tl 3.32-3.33
Hg: 0.0000 0.5000 0.4045  4 Hg 3.26-3.32, 2 In 3.26, 2 Tl 3.31
Hg: 0.0000 0.5000 0.5955  4 Hg 3.26-3.32, 2 In 3.26, 2 Tl 3.31
Hg: 0.0000 0.5000 0.7972  8 Hg 3.32-3.69, 4 Tl 3.32-3.33
Hg: 0.5000 0.0000 0.0000  8 Hg 3.33-3.69, 4 Tl 3.33
Hg: 0.5000 0.0000 0.2028  8 Hg 3.32-3.69, 4 Tl 3.32-3.33
Hg: 0.5000 0.0000 0.4045  4 Hg 3.26-3.32, 2 In 3.26, 2 Tl 3.31
Hg: 0.5000 0.0000 0.5955  4 Hg 3.26-3.32, 2 In 3.26, 2 Tl 3.31
Hg: 0.5000 0.0000 0.7972  8 Hg 3.32-3.69, 4 Tl 3.32-3.33
Hg: 0.5000 0.5000 0.1016  8 Hg 3.33, 4 Tl 3.69
Hg: 0.5000 0.5000 0.3036  8 Hg 3.32, 4 Tl 3.69
Hg: 0.5000 0.5000 0.5000  8 Hg 3.26
Hg: 0.5000 0.5000 0.6964  8 Hg 3.32, 4 Tl 3.69
Hg: 0.5000 0.5000 0.8984  8 Hg 3.33, 4 Tl 3.69

[2]
Density functional theory data (PBE) for a relaxed Tl16In7Hg6 crystal.

* space-group type: Fm-3m
* energy of formation from the pure elements: 0.056 eV per atom
* E: -57.2 eV per cell
* DOS at the Fermi energy: 16.19 states/eV per cell

Cell: 10.8488 10.8488 10.8488 Å, 60.00 60.00 60.00°
Last column: nearest neighbours and their distance in Å.
Atoms (fractional coordinates):
Tl: 0.0915 0.6362 0.6362  3 In 3.24, 3 Hg 3.24
Tl: 0.1225 0.1225 0.1225  4 In 3.25-3.34, 3 Hg 3.56
Tl: 0.1225 0.1225 0.6326  4 In 3.25-3.34, 3 Hg 3.56
Tl: 0.1225 0.6326 0.1225  4 In 3.25-3.34, 3 Hg 3.56
Tl: 0.3638 0.3638 0.3638  3 In 3.24, 3 Hg 3.24
Tl: 0.3638 0.3638 0.9085  3 In 3.24, 3 Hg 3.24
Tl: 0.3638 0.9085 0.3638  3 In 3.24, 3 Hg 3.24
Tl: 0.3674 0.8775 0.8775  4 In 3.25-3.34, 3 Hg 3.56
Tl: 0.6326 0.1225 0.1225  4 In 3.25-3.34, 3 Hg 3.56
Tl: 0.6362 0.0915 0.6362  3 In 3.24, 3 Hg 3.24
Tl: 0.6362 0.6362 0.0915  3 In 3.24, 3 Hg 3.24
Tl: 0.6362 0.6362 0.6362  3 In 3.24, 3 Hg 3.24
Tl: 0.8775 0.3674 0.8775  4 In 3.25-3.34, 3 Hg 3.56
Tl: 0.8775 0.8775 0.3674  4 In 3.25-3.34, 3 Hg 3.56
Tl: 0.8775 0.8775 0.8775  4 In 3.25-3.34, 3 Hg 3.56
Tl: 0.9085 0.3638 0.3638  3 In 3.24, 3 Hg 3.24
In: 0.0000 0.0000 0.0000  8 Tl 3.25
In: 0.0000 0.0000 0.5000  8 Tl 3.24-3.34
In: 0.0000 0.5000 0.0000  8 Tl 3.24-3.34
In: 0.0000 0.5000 0.5000  8 Tl 3.24-3.34
In: 0.5000 0.0000 0.0000  8 Tl 3.24-3.34
In: 0.5000 0.0000 0.5000  8 Tl 3.24-3.34
In: 0.5000 0.5000 0.0000  8 Tl 3.24-3.34
Hg: 0.2771 0.2771 0.7229  8 Tl 3.24-3.56
Hg: 0.2771 0.7229 0.2771  8 Tl 3.24-3.56
Hg: 0.2771 0.7229 0.7229  8 Tl 3.24-3.56
Hg: 0.7229 0.2771 0.2771  8 Tl 3.24-3.56
Hg: 0.7229 0.2771 0.7229  8 Tl 3.24-3.56
Hg: 0.7229 0.7229 0.2771  8 Tl 3.24-3.56

[3]
Density functional theory data (PBE) for a relaxed TlIn5Hg2 crystal.

* ΔE to the lowest computed polymorph: 0.214 eV per formula unit
* space-group type: Immm
* energy of formation from the pure elements: 0.044 eV per atom
* E: -16.3 eV per cell
* DOS at the Fermi energy: 3.63 states/eV per cell

Cell: 7.5603 7.5603 7.5603 Å, 145.84 105.30 84.76°
Last column: nearest neighbours and their distance in Å.
Atoms (fractional coordinates):
Tl: 0.0000 0.0000 0.0000  4 Hg 3.30
In: 0.1667 0.3579 0.8087  3 Hg 2.96-3.23, 3 In 3.17-3.24
In: 0.4508 0.6421 0.8087  3 Hg 2.96-3.23, 3 In 3.17-3.24
In: 0.5000 0.0000 0.5000  2 Hg 3.15, 8 In 3.24
In: 0.5492 0.3579 0.1913  3 Hg 2.96-3.23, 3 In 3.17-3.24
In: 0.8333 0.6421 0.1913  3 Hg 2.96-3.23, 3 In 3.17-3.24
Hg: 0.2179 0.7179 0.5000  7 In 2.96-3.23, 2 Tl 3.30
Hg: 0.7821 0.2821 0.5000  7 In 2.96-3.23, 2 Tl 3.30

[4]
Density functional theory data (PBE) for a relaxed Tl2In3Hg3 crystal.

* ΔE to the lowest computed polymorph: 0.264 eV per formula unit
* space-group type: P-62m
* energy of formation from the pure elements: 0.046 eV per atom
* E: -13.5 eV per cell
* DOS at the Fermi energy: 2.80 states/eV per cell

Cell: 8.4179 8.4179 3.7197 Å, 90.00 90.00 120.00°
Last column: nearest neighbours and their distance in Å.
Atoms (fractional coordinates):
Tl: 0.3333 0.6667 0.0000  6 Hg 3.27, 3 In 3.32
Tl: 0.6667 0.3333 0.0000  6 Hg 3.27, 3 In 3.32
In: 0.0000 0.7686 0.0000  4 Hg 3.26, 2 Tl 3.32, 2 In 3.37
In: 0.2314 0.2314 0.0000  4 Hg 3.26, 2 Tl 3.32, 2 In 3.37
In: 0.7686 0.0000 0.0000  4 Hg 3.26, 2 Tl 3.32, 2 In 3.37
Hg: 0.0000 0.3634 0.5000  4 In 3.26, 4 Tl 3.27
Hg: 0.3634 0.0000 0.5000  4 In 3.26, 4 Tl 3.27
Hg: 0.6366 0.6366 0.5000  4 In 3.26, 4 Tl 3.27

[5]
Density functional theory data (PBE) for a relaxed TlInHg crystal.

* space-group type: P2_1/m
* energy of formation from the pure elements: 0.005 eV per atom
* E: -10.8 eV per cell
* DOS at the Fermi energy: 2.61 states/eV per cell

Cell: 5.6454 3.3543 8.9978 Å, 90.00 95.02 90.00°
Last column: nearest neighbours and their distance in Å.
Atoms (fractional coordinates):
Tl: 0.2457 0.2500 0.3881  3 Hg 3.18-3.41, 2 Tl 3.35, 2 In 3.46
Tl: 0.7543 0.7500 0.6119  3 Hg 3.18-3.41, 2 Tl 3.35, 2 In 3.46
In: 0.2492 0.7500 0.0522  4 Hg 3.22-3.53, 6 In 3.34-3.49, 2 Tl 3.46
In: 0.7508 0.2500 0.9478  4 Hg 3.22-3.53, 6 In 3.34-3.49, 2 Tl 3.46
Hg: 0.2553 0.2500 0.7421  3 Tl 3.18-3.41, 4 In 3.22-3.53, 2 Hg 3.35
Hg: 0.7447 0.7500 0.2579  3 Tl 3.18-3.41, 4 In 3.22-3.53, 2 Hg 3.35

[6]
Density functional theory data (PBE) for a relaxed TlInHg2 crystal.

* space-group type: R3m
* energy of formation from the pure elements: 0.007 eV per atom
* E: -5.7 eV per cell
* DOS at the Fermi energy: 1.09 states/eV per cell

Cell: 10.2901 10.2901 10.2901 Å, 20.08 20.08 20.08°
Last column: nearest neighbours and their distance in Å.
Atoms (fractional coordinates):
Tl: 0.0000 0.0000 0.0000  3 Hg 3.35, 3 In 3.36, 6 Tl 3.59
In: 0.2457 0.2457 0.2457  3 Hg 3.15, 3 Tl 3.36
Hg: 0.5003 0.5003 0.5003  3 In 3.15, 3 Hg 3.19
Hg: 0.7536 0.7536 0.7536  3 Hg 3.19, 3 Tl 3.35

[7]
Density functional theory data (PBE) for a relaxed Tl6InHg23 crystal.

* space-group type: Fm-3m
* energy of formation from the pure elements: -0.002 eV per atom
* E: -23.9 eV per cell
* DOS at the Fermi energy: 11.89 states/eV per cell

Cell: 10.6046 10.6046 10.6046 Å, 60.00 60.00 60.00°
Last column: nearest neighbours and their distance in Å.
Atoms (fractional coordinates):
Tl: 0.2196 0.2196 0.7804  9 Hg 3.29-3.50
Tl: 0.2196 0.7804 0.2196  9 Hg 3.29-3.50
Tl: 0.2196 0.7804 0.7804  9 Hg 3.29-3.50
Tl: 0.7804 0.2196 0.2196  9 Hg 3.29-3.50
Tl: 0.7804 0.2196 0.7804  9 Hg 3.29-3.50
Tl: 0.7804 0.7804 0.2196  9 Hg 3.29-3.50
In: 0.5000 0.5000 0.5000  8 Hg 3.13
Hg: 0.0000 0.0000 0.0000  6 Tl 3.29
Hg: 0.0000 0.0000 0.5000  8 Hg 3.07-3.29
Hg: 0.0000 0.5000 0.0000  8 Hg 3.07-3.29
Hg: 0.0000 0.5000 0.5000  8 Hg 3.07-3.29
Hg: 0.1383 0.6206 0.6206  1 In 3.13, 6 Hg 3.29-3.41, 3 Tl 3.50
Hg: 0.1588 0.1588 0.1588  6 Hg 3.07-3.41
Hg: 0.1588 0.1588 0.5237  6 Hg 3.07-3.41
Hg: 0.1588 0.5237 0.1588  6 Hg 3.07-3.41
Hg: 0.3794 0.3794 0.3794  1 In 3.13, 6 Hg 3.29-3.41, 3 Tl 3.50
Hg: 0.3794 0.3794 0.8617  1 In 3.13, 6 Hg 3.29-3.41, 3 Tl 3.50
Hg: 0.3794 0.8617 0.3794  1 In 3.13, 6 Hg 3.29-3.41, 3 Tl 3.50
Hg: 0.4763 0.8412 0.8412  6 Hg 3.07-3.41
Hg: 0.5000 0.0000 0.0000  8 Hg 3.07-3.29
Hg: 0.5000 0.0000 0.5000  8 Hg 3.07-3.29
Hg: 0.5000 0.5000 0.0000  8 Hg 3.07-3.29
Hg: 0.5237 0.1588 0.1588  6 Hg 3.07-3.41
Hg: 0.6206 0.1383 0.6206  1 In 3.13, 6 Hg 3.29-3.41, 3 Tl 3.50
Hg: 0.6206 0.6206 0.1383  1 In 3.13, 6 Hg 3.29-3.41, 3 Tl 3.50
Hg: 0.6206 0.6206 0.6206  1 In 3.13, 6 Hg 3.29-3.41, 3 Tl 3.50
Hg: 0.8412 0.4763 0.8412  6 Hg 3.07-3.41
Hg: 0.8412 0.8412 0.4763  6 Hg 3.07-3.41
Hg: 0.8412 0.8412 0.8412  6 Hg 3.07-3.41
Hg: 0.8617 0.3794 0.3794  1 In 3.13, 6 Hg 3.29-3.41, 3 Tl 3.50

[8]
Density functional theory data (PBE) for a relaxed Tl5In5Hg6 crystal.

* space-group type: Amm2
* energy of formation from the pure elements: 0.006 eV per atom
* E: -27.2 eV per cell
* DOS at the Fermi energy: 7.56 states/eV per cell

Cell: 6.1369 9.0658 9.0658 Å, 115.96 90.00 90.00°
Last column: nearest neighbours and their distance in Å.
Atoms (fractional coordinates):
Tl: 0.0000 0.0000 0.0000  5 Hg 3.26-3.46
Tl: 0.0000 0.5419 0.7624  5 Hg 3.31-3.53, 3 Tl 3.39-3.68
Tl: 0.0000 0.7624 0.5419  5 Hg 3.31-3.53, 3 Tl 3.39-3.68
Tl: 0.5000 0.7495 0.9756  5 Hg 3.35-3.55, 3 Tl 3.48-3.68
Tl: 0.5000 0.9756 0.7495  5 Hg 3.35-3.55, 3 Tl 3.48-3.68
In: 0.2502 0.0747 0.4169  2 In 3.07, 6 Hg 3.14-3.23
In: 0.2502 0.4169 0.0747  2 In 3.07, 6 Hg 3.14-3.23
In: 0.5000 0.5077 0.5077  5 Hg 3.07-3.39
In: 0.7498 0.0747 0.4169  2 In 3.07, 6 Hg 3.14-3.23
In: 0.7498 0.4169 0.0747  2 In 3.07, 6 Hg 3.14-3.23
Hg: 0.0000 0.1725 0.7511  4 In 3.16-3.19, 3 Tl 3.26-3.35, 2 Hg 3.45
Hg: 0.0000 0.3569 0.3569  6 In 3.23-3.39, 3 Tl 3.31-3.43, 2 Hg 3.58
Hg: 0.0000 0.7511 0.1725  4 In 3.16-3.19, 3 Tl 3.26-3.35, 2 Hg 3.45
Hg: 0.5000 0.1655 0.1655  5 In 3.14-3.29, 4 Tl 3.39-3.46
Hg: 0.5000 0.3390 0.7367  5 In 3.07-3.23, 2 Tl 3.35-3.39
Hg: 0.5000 0.7367 0.3390  5 In 3.07-3.23, 2 Tl 3.35-3.39

[9]
Density functional theory data (PBE) for a relaxed TlIn3Hg2 crystal.

* space-group type: C2/m
* energy of formation from the pure elements: 0.006 eV per atom
* E: -22.3 eV per cell
* DOS at the Fermi energy: 3.86 states/eV per cell

Cell: 7.3545 7.3545 10.8273 Å, 111.01 111.01 37.58°
Last column: nearest neighbours and their distance in Å.
Atoms (fractional coordinates):
Tl: 0.1322 0.1322 0.1159  7 Hg 3.24-3.47, 4 In 3.48-3.57, 1 Tl 3.59
Tl: 0.8678 0.8678 0.8841  7 Hg 3.24-3.47, 4 In 3.48-3.57, 1 Tl 3.59
In: 0.0474 0.0474 0.3794  8 In 3.30-3.37, 3 Hg 3.39-3.41, 1 Tl 3.48
In: 0.2875 0.2875 0.6208  2 Hg 3.26-3.47, 8 In 3.30-3.39, 2 Tl 3.55
In: 0.3811 0.3811 0.3814  3 Hg 3.29-3.37, 8 In 3.31-3.37, 1 Tl 3.57
In: 0.6189 0.6189 0.6186  3 Hg 3.29-3.37, 8 In 3.31-3.37, 1 Tl 3.57
In: 0.7125 0.7125 0.3792  2 Hg 3.26-3.47, 8 In 3.30-3.39, 2 Tl 3.55
In: 0.9526 0.9526 0.6206  8 In 3.30-3.37, 3 Hg 3.39-3.41, 1 Tl 3.48
Hg: 0.1960 0.1960 0.8571  3 Tl 3.24-3.30, 4 In 3.26-3.39, 2 Hg 3.28
Hg: 0.4643 0.4643 0.1347  3 Hg 3.28-3.42, 4 In 3.29-3.47, 4 Tl 3.39-3.47
Hg: 0.5357 0.5357 0.8653  3 Hg 3.28-3.42, 4 In 3.29-3.47, 4 Tl 3.39-3.47
Hg: 0.8040 0.8040 0.1429  3 Tl 3.24-3.30, 4 In 3.26-3.39, 2 Hg 3.28